# 1
The following is a PBE-GGA calculation of a relaxed structure of Nd2YAg, from Alexandria via LeMat-Bulk.

Cell lengths 3.671, 3.671, 10.858 Å; angles 80.27, 80.27, 60.00 degrees
Fractional positions:
Nd1 0.075 0.075 0.774
Nd2 0.258 0.258 0.227
Y1 0.500 0.500 0.501
Ag1 0.667 0.667 0.998

Computed properties:
ΔE_f   0.003 eV per atom
DFT total energy   -4.710 eV per atom

# 2
The following is a PBE-GGA calculation of a relaxed structure of Sr2ZnInSe5, from Alexandria via LeMat-Bulk.

Cell lengths 4.188, 9.877, 12.625 Å; angles 90.00, 90.00, 102.24 degrees
Fractional positions:
Sr1 0.878 0.757 0.794
Sr2 0.102 0.204 0.651
Sr3 0.122 0.243 0.294
Sr4 0.898 0.796 0.151
Zn1 0.750 0.499 0.530
Zn2 0.250 0.501 0.030
In1 0.574 0.148 0.949
In2 0.426 0.852 0.449
Se1 0.373 0.745 0.979
Se2 0.710 0.420 0.916
Se3 0.511 0.022 0.771
Se4 0.268 0.537 0.666
Se5 0.948 0.897 0.567
Se6 0.627 0.255 0.479
Se7 0.290 0.580 0.416
Se8 0.489 0.978 0.271
Se9 0.732 0.463 0.166
Se10 0.052 0.103 0.067

Computed properties:
DFT total energy   -3.849 eV per atom
Energy relative to the elements, uncorrected   -1.094 eV/atom

# 3
The following is a PBE-GGA calculation of a relaxed structure of In2NiRuAu, from Alexandria via LeMat-Bulk.

Cell lengths 4.703, 4.729, 4.703 Å; angles 90.00, 90.00, 90.00 degrees
Fractional positions:
Ni1 0.000 0.000 0.000
Ru1 0.500 0.500 0.500
Au1 0.000 0.500 0.000
In1 0.000 0.000 0.500
In2 0.500 0.000 0.000

Computed properties:
ΔE_f   0.769 eV per atom
DFT total energy   -3.994 eV per atom

# 4
The following is a PBE-GGA calculation of a relaxed structure of AcSmCoIr, from Alexandria via LeMat-Bulk.

Cell lengths 5.070, 5.070, 5.070 Å; angles 60.00, 60.00, 60.00 degrees
Fractional positions:
Ac1 0.500 0.500 0.500
Ir1 0.750 0.750 0.750
Co1 0.250 0.250 0.250
Sm1 0.000 0.000 0.000

Computed properties:
ΔE_f   -0.207 eV per atom
DFT total energy   -6.406 eV per atom

# 5
The following is a PBE-GGA calculation of a relaxed structure of Ca2NiAu2, from Alexandria via LeMat-Bulk.

Cell lengths 7.213, 7.213, 4.321 Å; angles 90.00, 90.00, 90.00 degrees
Fractional positions:
Ni1 0.000 0.000 0.000
Ni2 0.500 0.500 0.000
Ca1 0.172 0.672 0.500
Ca2 0.672 0.828 0.500
Ca3 0.828 0.328 0.500
Ca4 0.328 0.172 0.500
Au1 0.359 0.859 0.000
Au2 0.859 0.641 0.000
Au3 0.641 0.141 0.000
Au4 0.141 0.359 0.000

Computed properties:
ΔE_f   -0.432 eV per atom
DFT total energy   -3.700 eV per atom

# 6
The following is a PBE-GGA calculation of a relaxed structure of BeHBr2, from Alexandria via LeMat-Bulk.

Cell lengths 6.353, 6.353, 6.415 Å; angles 60.32, 60.32, 90.00 degrees
Fractional positions:
Be1 0.000 0.000 0.000
Be2 0.750 0.250 0.500
Br1 0.713 0.125 0.250
Br2 0.037 0.625 0.250
Br3 0.375 0.287 0.750
Br4 0.875 0.963 0.750
H1 0.500 0.500 0.000
H2 0.250 0.750 0.500

Computed properties:
DFT total energy   -2.746 eV per atom

# 7
The following is a PBE-GGA calculation of a relaxed structure of Y2GeMoAu, from Alexandria via LeMat-Bulk.

Cell lengths 5.366, 4.665, 5.366 Å; angles 90.00, 90.00, 90.00 degrees
Fractional positions:
Y1 0.000 0.000 0.500
Y2 0.500 0.000 0.000
Mo1 0.000 0.500 0.000
Au1 0.500 0.500 0.500
Ge1 0.000 0.000 0.000

Computed properties:
ΔE_f   0.276 eV per atom
DFT total energy   -6.055 eV per atom

# 8
The following is a PBE-GGA calculation of a relaxed structure of MgCr, from Alexandria via LeMat-Bulk.

Cell lengths 4.884, 5.166, 6.052 Å; angles 90.00, 90.00, 90.00 degrees
Fractional positions:
Mg1 0.250 0.917 0.376
Mg2 0.750 0.583 0.876
Mg3 0.250 0.417 0.124
Mg4 0.750 0.083 0.624
Cr1 0.250 0.925 0.875
Cr2 0.750 0.575 0.375
Cr3 0.250 0.425 0.625
Cr4 0.750 0.075 0.125

Computed properties:
ΔE_f   0.614 eV per atom
DFT total energy   -4.995 eV per atom